1.
DFT (PBE-GGA) results for a relaxed structure of Ho3TiPt12.

Size of the total moment in μB per formula unit: 0.00
ΔE_f in eV per atom: -1.0116
Space group: No. 123
Crystal system: tetragonal
DOS at the Fermi energy in states/eV per atom: 0.8921

Cell lengths 4.068, 4.068, 16.293 Å; angles 90.00, 90.00, 90.00 degrees
Atoms (fractional coordinates):
Pt (0.000, 0.500, 0.885)
Pt (0.000, 0.500, 0.115)
Pt (0.500, 0.500, 0.000)
Ti (0.000, 0.000, 0.000)
Pt (0.500, 0.000, 0.115)
Pt (0.000, 0.500, 0.628)
Pt (0.500, 0.500, 0.500)
Pt (0.500, 0.000, 0.628)
Ho (0.000, 0.000, 0.753)
Pt (0.000, 0.500, 0.372)
Pt (0.500, 0.000, 0.372)
Pt (0.500, 0.000, 0.885)
Pt (0.500, 0.500, 0.244)
Pt (0.500, 0.500, 0.756)
Ho (0.000, 0.000, 0.247)
Ho (0.000, 0.000, 0.500)



2.
DFT (PBE-GGA) results for a relaxed structure of TmTl3Bi2S6.

Energy relative to the elements, uncorrected in eV per formula unit: -9.3
Size of the total moment in μB per formula unit: 0.00
Space group: No. 12
Crystal system: monoclinic

Cell lengths 7.097, 7.097, 7.828 Å; angles 98.69, 98.69, 119.99 degrees
Atoms (fractional coordinates):
S (0.253, 0.253, 0.795)
S (0.611, 0.932, 0.797)
S (0.932, 0.611, 0.797)
S (0.068, 0.389, 0.203)
Tm (0.000, 0.000, 0.000)
Bi (0.667, 0.333, 0.000)
Tl (0.500, 0.500, 0.500)
Tl (0.832, 0.168, 0.500)
Tl (0.168, 0.832, 0.500)
Bi (0.333, 0.667, 0.000)
S (0.747, 0.747, 0.205)
S (0.389, 0.068, 0.203)



3.
DFT (PBE-GGA) results for a relaxed structure of VCr2W3.

Size of the total moment in μB per formula unit: 0.00
ΔE_f in eV per atom: -0.0237
Space group: No. 123
Crystal system: tetragonal
DOS at the Fermi energy in states/eV per atom: 0.5614

Cell lengths 3.045, 3.045, 9.162 Å; angles 90.00, 90.00, 90.00 degrees
Atoms (fractional coordinates):
Cr (0.500, 0.500, 0.835)
Cr (0.500, 0.500, 0.165)
W (0.000, 0.000, 0.000)
V (0.500, 0.500, 0.500)
W (0.000, 0.000, 0.670)
W (0.000, 0.000, 0.330)



4.
DFT (PBE-GGA) results for a relaxed structure of PmCdHgIr.

Size of the total moment in μB per formula unit: 0.00
ΔE_f in eV per atom: -0.2072
Space group: No. 216
Crystal system: cubic
DOS at the Fermi energy in states/eV per atom: 0.6828

Cell lengths 4.982, 4.982, 4.982 Å; angles 60.00, 60.00, 60.00 degrees
Atoms (fractional coordinates):
Hg (0.250, 0.250, 0.250)
Pm (0.500, 0.500, 0.500)
Ir (0.750, 0.750, 0.750)
Cd (0.000, 0.000, 0.000)



5.
DFT (PBE-GGA) results for a relaxed structure of Ac2Tm3Tl4.

Size of the total moment in μB per formula unit: 0.00
ΔE_f in eV per atom: -0.2701
Space group: No. 64
Crystal system: orthorhombic
DOS at the Fermi energy in states/eV per atom: 0.9770

Cell lengths 7.204, 9.161, 9.384 Å; angles 90.00, 112.57, 90.00 degrees
Atoms (fractional coordinates):
Ac (0.389, 0.080, 0.778)
Ac (0.889, 0.420, 0.778)
Tl (0.291, 0.250, 0.082)
Tm (0.466, 0.250, 0.432)
Tm (0.966, 0.250, 0.432)
Ac (0.611, 0.920, 0.222)
Tm (0.000, 0.000, 0.000)
Tm (0.534, 0.750, 0.568)
Tl (0.684, 0.542, 0.367)
Tl (0.316, 0.458, 0.633)
Tl (0.709, 0.750, 0.918)
Tl (0.184, 0.958, 0.367)
Tl (0.791, 0.250, 0.082)
Tl (0.816, 0.042, 0.633)
Tm (0.500, 0.500, 0.000)
Tm (0.034, 0.750, 0.568)
Ac (0.111, 0.580, 0.222)
Tl (0.209, 0.750, 0.918)



6.
DFT (PBE-GGA) results for a relaxed structure of NdTmO2.

Energy relative to the elements, uncorrected in eV per formula unit: -11.4
Size of the total moment in μB per formula unit: 0.00
Space group: No. 166
Crystal system: trigonal
DOS at the Fermi energy in states/eV per atom: 0.0444

Cell lengths 3.552, 3.552, 7.030 Å; angles 75.37, 75.37, 60.00 degrees
Atoms (fractional coordinates):
Nd (0.000, 0.000, 0.000)
O (0.115, 0.115, 0.654)
Tm (0.500, 0.500, 0.500)
O (0.885, 0.885, 0.346)



7.
DFT (PBE-GGA) results for a relaxed structure of CdTePb2.

Energy relative to the elements, uncorrected in eV per formula unit: -0.1
Size of the total moment in μB per formula unit: 0.00
Space group: No. 47
Crystal system: orthorhombic
DOS at the Fermi energy in states/eV per atom: 0.4000

Cell lengths 4.404, 3.289, 8.544 Å; angles 90.03, 90.00, 90.00 degrees
Atoms (fractional coordinates):
Pb (0.000, 0.249, 0.528)
Te (0.500, 0.250, 0.250)
Pb (0.000, 0.251, 0.972)
Cd (0.500, 0.750, 0.750)



8.
DFT (PBE-GGA) results for a relaxed structure of Pm2HgP.

Size of the total moment in μB per formula unit: 0.00
ΔE_f in eV per atom: -0.9824
Space group: No. 166
Crystal system: trigonal
DOS at the Fermi energy in states/eV per atom: 1.0207

Cell lengths 4.087, 4.087, 8.028 Å; angles 75.25, 75.25, 60.00 degrees
Atoms (fractional coordinates):
P (0.000, 0.000, 0.000)
Pm (0.736, 0.736, 0.791)
Pm (0.264, 0.264, 0.209)
Hg (0.500, 0.500, 0.500)



9.
DFT (PBE-GGA) results for a relaxed structure of MgCo6Ge6.

Size of the total moment in μB per formula unit: 0.00
ΔE_f in eV per atom: -0.2322
Space group: No. 191
Crystal system: hexagonal
DOS at the Fermi energy in states/eV per atom: 0.7972

Cell lengths 5.060, 5.060, 7.730 Å; angles 90.00, 90.00, 120.00 degrees
Atoms (fractional coordinates):
Ge (0.667, 0.333, 0.500)
Ge (0.000, 0.000, 0.337)
Ge (0.000, 0.000, 0.663)
Co (0.500, 0.500, 0.750)
Co (0.000, 0.500, 0.750)
Co (0.500, 0.000, 0.250)
Co (0.000, 0.500, 0.250)
Co (0.500, 0.000, 0.750)
Ge (0.333, 0.667, 0.500)
Co (0.500, 0.500, 0.250)
Ge (0.667, 0.333, 0.000)
Ge (0.333, 0.667, 0.000)
Mg (0.000, 0.000, 0.000)



10.
DFT (PBE-GGA) results for a relaxed structure of TcSeIO2.

Energy relative to the elements, uncorrected in eV per formula unit: 3.0
Size of the total moment in μB per formula unit: 3.51
Space group: No. 123
Crystal system: tetragonal
DOS at the Fermi energy in states/eV per atom: 0.6757

Cell lengths 3.899, 3.899, 6.935 Å; angles 90.00, 90.00, 90.00 degrees
Atoms (fractional coordinates):
I (0.000, 0.000, 0.500)
Se (0.000, 0.000, 0.000)
O (0.000, 0.500, 0.000)
O (0.500, 0.000, 0.000)
Tc (0.500, 0.500, 0.500)



11.
DFT (PBE-GGA) results for a relaxed structure of BaFe2Ru2.

Size of the total moment in μB per formula unit: 0.00
ΔE_f in eV per atom: 0.7360
Space group: No. 127
Crystal system: tetragonal
DOS at the Fermi energy in states/eV per atom: 1.5580

Cell lengths 7.711, 7.711, 2.795 Å; angles 90.00, 90.00, 90.00 degrees
Atoms (fractional coordinates):
Ru (0.159, 0.659, 0.500)
Fe (0.109, 0.391, 0.000)
Fe (0.609, 0.109, 0.000)
Ba (0.000, 0.000, 0.000)
Fe (0.391, 0.891, 0.000)
Fe (0.891, 0.609, 0.000)
Ru (0.341, 0.159, 0.500)
Ru (0.841, 0.341, 0.500)
Ru (0.659, 0.841, 0.500)
Ba (0.500, 0.500, 0.000)



12.
DFT (PBE-GGA) results for a relaxed structure of ZrAlNi.

Size of the total moment in μB per formula unit: 0.54
ΔE_f in eV per atom: -0.1975
Space group: No. 59
Crystal system: orthorhombic
DOS at the Fermi energy in states/eV per atom: 0.6840

Cell lengths 4.196, 4.193, 12.308 Å; angles 90.00, 90.00, 90.00 degrees
Atoms (fractional coordinates):
Zr (0.247, 0.750, 0.129)
Al (0.250, 0.750, 0.876)
Ni (0.255, 0.250, 0.000)
Zr (0.247, 0.750, 0.371)
Ni (0.745, 0.750, 0.000)
Ni (0.255, 0.250, 0.500)
Zr (0.753, 0.250, 0.871)
Zr (0.753, 0.250, 0.629)
Al (0.750, 0.250, 0.376)
Ni (0.745, 0.750, 0.500)
Al (0.250, 0.750, 0.624)
Al (0.750, 0.250, 0.124)



13.
DFT (PBE-GGA) results for a relaxed structure of La2ThNbN4.

Energy relative to the elements, uncorrected in eV per formula unit: -10.2
Size of the total moment in μB per formula unit: 0.00
Space group: No. 10
Crystal system: monoclinic
DOS at the Fermi energy in states/eV per atom: 0.5220

Cell lengths 3.492, 6.096, 6.213 Å; angles 108.30, 90.00, 90.00 degrees
Atoms (fractional coordinates):
La (0.000, 0.500, 0.500)
Th (0.500, 0.500, 0.000)
Nb (0.000, 0.000, 0.000)
N (0.500, 0.784, 0.794)
La (0.500, 0.000, 0.500)
N (0.500, 0.216, 0.206)
N (0.000, 0.231, 0.790)
N (0.000, 0.769, 0.210)



14.
DFT (PBE-GGA) results for a relaxed structure of SmEr4N5.

Energy relative to the elements, uncorrected in eV per formula unit: -17.1
Size of the total moment in μB per formula unit: 0.00
Space group: No. 139
Crystal system: tetragonal
DOS at the Fermi energy in states/eV per atom: 0.0451

Cell lengths 3.465, 3.465, 12.480 Å; angles 97.98, 97.98, 90.00 degrees
Atoms (fractional coordinates):
N (0.300, 0.300, 0.599)
N (0.897, 0.897, 0.794)
Sm (0.000, 0.000, 0.000)
N (0.700, 0.700, 0.401)
Er (0.201, 0.201, 0.401)
N (0.500, 0.500, 0.000)
Er (0.602, 0.602, 0.205)
Er (0.799, 0.799, 0.599)
N (0.103, 0.103, 0.206)
Er (0.398, 0.398, 0.795)



15.
DFT (PBE-GGA) results for a relaxed structure of CaFeTc2.

Size of the total moment in μB per formula unit: 2.31
ΔE_f in eV per atom: 0.5984
Space group: No. 10
Crystal system: monoclinic
DOS at the Fermi energy in states/eV per atom: 1.1045

Cell lengths 4.666, 2.682, 5.180 Å; angles 82.02, 90.00, 90.00 degrees
Atoms (fractional coordinates):
Ca (0.500, 0.250, 0.250)
Fe (0.500, 0.750, 0.750)
Tc (0.000, 0.954, 0.993)
Tc (0.000, 0.546, 0.507)



16.
DFT (PBE-GGA) results for a relaxed structure of FeCoRu2.

Size of the total moment in μB per formula unit: 3.69
ΔE_f in eV per atom: 0.1732
Space group: No. 160
Crystal system: trigonal
DOS at the Fermi energy in states/eV per atom: 1.2923

Cell lengths 8.548, 8.548, 8.548 Å; angles 17.88, 17.88, 17.88 degrees
Atoms (fractional coordinates):
Ru (0.249, 0.249, 0.249)
Ru (0.001, 0.001, 0.001)
Fe (0.753, 0.753, 0.753)
Co (0.498, 0.498, 0.498)



17.
DFT (PBE-GGA) results for a relaxed structure of Pu2ThCu2Sb2.

Energy relative to the elements, uncorrected in eV per formula unit: -1.9
Size of the total moment in μB per formula unit: 12.05
Space group: No. 166
Crystal system: trigonal
DOS at the Fermi energy in states/eV per atom: 2.0647

Cell lengths 4.518, 4.518, 9.568 Å; angles 76.34, 76.34, 60.00 degrees
Atoms (fractional coordinates):
Sb (0.262, 0.262, 0.213)
Cu (0.583, 0.583, 0.252)
Th (0.000, 0.000, 0.000)
Sb (0.738, 0.738, 0.787)
Pu (0.141, 0.141, 0.578)
Pu (0.859, 0.859, 0.422)
Cu (0.417, 0.417, 0.748)



18.
DFT (PBE-GGA) results for a relaxed structure of Ac4Ag2N.

Energy relative to the elements, uncorrected in eV per formula unit: -3.1
Size of the total moment in μB per formula unit: 0.00
Space group: No. 11
Crystal system: monoclinic
DOS at the Fermi energy in states/eV per atom: 0.9701

Cell lengths 7.411, 7.735, 8.773 Å; angles 90.00, 107.07, 90.00 degrees
Atoms (fractional coordinates):
Ag (0.263, 0.250, 0.437)
Ag (0.286, 0.250, 0.951)
Ac (0.919, 0.250, 0.086)
Ac (0.513, 0.010, 0.752)
Ac (0.487, 0.510, 0.248)
Ag (0.714, 0.750, 0.049)
Ag (0.737, 0.750, 0.563)
Ac (0.934, 0.250, 0.628)
Ac (0.513, 0.490, 0.752)
Ac (0.487, 0.990, 0.248)
N (0.740, 0.250, 0.806)
N (0.260, 0.750, 0.194)
Ac (0.066, 0.750, 0.372)
Ac (0.081, 0.750, 0.914)



19.
DFT (PBE-GGA) results for a relaxed structure of Cs3MgCu2F9.

Energy relative to the elements, uncorrected in eV per formula unit: -35.8
Size of the total moment in μB per formula unit: 2.02
Space group: No. 164
Crystal system: trigonal
DOS at the Fermi energy in states/eV per atom: 0.1384

Cell lengths 6.014, 6.014, 7.362 Å; angles 90.00, 90.00, 120.00 degrees
Atoms (fractional coordinates):
F (0.835, 0.165, 0.665)
F (0.500, 0.500, 0.000)
F (0.835, 0.670, 0.665)
F (0.670, 0.835, 0.335)
Cu (0.667, 0.333, 0.833)
Cu (0.333, 0.667, 0.167)
Mg (0.000, 0.000, 0.500)
Cs (0.667, 0.333, 0.333)
Cs (0.333, 0.667, 0.667)
F (0.000, 0.500, 0.000)
F (0.330, 0.165, 0.665)
Cs (0.000, 0.000, 0.000)
F (0.165, 0.835, 0.335)
F (0.500, 0.000, 0.000)
F (0.165, 0.330, 0.335)



20.
DFT (PBE-GGA) results for a relaxed structure of Li3BS3.

Energy relative to the elements, uncorrected in eV per formula unit: -7.3
Size of the total moment in μB per formula unit: 0.00
Space group: No. 62
Crystal system: orthorhombic
DOS at the Fermi energy in states/eV per atom: 0.0000

Cell lengths 6.202, 8.189, 10.152 Å; angles 90.00, 90.00, 90.00 degrees
Atoms (fractional coordinates):
B (0.383, 0.620, 0.750)
S (0.243, 0.580, 0.906)
S (0.342, 0.297, 0.250)
Li (0.394, 0.331, 0.491)
Li (0.394, 0.331, 0.009)
Li (0.547, 0.995, 0.750)
S (0.158, 0.797, 0.250)
S (0.243, 0.580, 0.594)
B (0.883, 0.880, 0.250)
S (0.757, 0.420, 0.094)
Li (0.106, 0.831, 0.491)
Li (0.453, 0.005, 0.250)
S (0.757, 0.420, 0.406)
S (0.257, 0.080, 0.906)
S (0.743, 0.920, 0.406)
Li (0.047, 0.505, 0.250)
S (0.257, 0.080, 0.594)
Li (0.894, 0.169, 0.991)
S (0.743, 0.920, 0.094)
Li (0.606, 0.669, 0.509)
Li (0.953, 0.495, 0.750)
S (0.658, 0.703, 0.750)
S (0.842, 0.203, 0.750)
B (0.617, 0.380, 0.250)
Li (0.106, 0.831, 0.009)
Li (0.606, 0.669, 0.991)
B (0.117, 0.120, 0.750)
Li (0.894, 0.169, 0.509)